LiVOF3 | PBE+U | optimized geometry

Output
The symmetry is Pca2_1, No. 29. For the excess energy over the best structure of this formula in the dataset, the calculation gives 0.071 eV per atom.

a b c (Å): 5.1485 7.1302 8.2821
angles (deg): 90.00 90.00 90.00
With the nearest neighbours (Å) after each atom.
Element x y z (fractional)
Li (0.4569, 0.1626, 0.1342)  3 F 1.90-2.08, 1 O 2.08
Li (0.4569, 0.3374, 0.6342)  3 F 1.90-2.08, 1 O 2.08
Li (0.5431, 0.6626, 0.1342)  3 F 1.90-2.08, 1 O 2.08
Li (0.5431, 0.8374, 0.6342)  3 F 1.90-2.08, 1 O 2.08
V (0.0448, 0.4832, 0.9571)  1 O 1.65
V (0.0448, 0.0168, 0.4570)  1 O 1.65
V (0.9552, 0.9832, 0.9570)  1 O 1.65
V (0.9551, 0.5168, 0.4570)  1 O 1.65
O (0.1590, 0.0485, 0.2734)  1 V 1.65
O (0.1591, 0.4515, 0.7735)  1 V 1.65
O (0.8410, 0.5485, 0.2734)  1 V 1.65
O (0.8410, 0.9515, 0.7734)  1 V 1.65
F (0.3154, 0.0769, 0.6077)  1 V 1.92, 2 Li 2.01-2.08
F (0.3155, 0.4232, 0.1077)  1 V 1.92, 2 Li 2.01-2.08
F (0.6846, 0.5769, 0.6077)  1 V 1.92, 2 Li 2.01-2.08
F (0.6845, 0.9232, 0.1077)  1 V 1.92, 2 Li 2.01-2.08
F (0.2898, 0.0863, 0.9399)  1 V 1.88, 1 Li 1.90
F (0.2898, 0.4137, 0.4399)  1 V 1.88, 1 Li 1.90
F (0.7102, 0.5863, 0.9399)  1 V 1.88, 1 Li 1.90
F (0.7102, 0.9137, 0.4399)  1 V 1.88, 1 Li 1.90
F (0.8496, 0.2545, 0.5077)  2 V 1.99-2.01
F (0.8496, 0.2455, 0.0077)  2 V 1.99-2.01
F (0.1504, 0.7545, 0.5077)  2 V 1.99-2.01
F (0.1504, 0.7455, 0.0077)  2 V 1.99-2.01

=====

RbMn2Ag2F7 | PBE+U | optimized geometry

Output
The symmetry is P-1, No. 2.

a b c (Å): 4.1934 4.5022 10.8482
angles (deg): 98.91 101.24 90.00
With the nearest neighbours (Å) after each atom.
Element x y z (fractional)
Rb (0.0001, 0.0000, 0.0000)  12 F 3.03-3.08
Mn (0.3977, 0.4239, 0.7978)  6 F 2.10-2.25
Mn (0.6024, 0.5761, 0.2022)  6 F 2.10-2.25
Ag (0.2776, 0.8326, 0.5541)  3 F 2.27-2.49
Ag (0.7218, 0.1673, 0.4459)  3 F 2.27-2.49
F (0.3948, 0.9220, 0.7913)  2 Mn 2.25, 1 Ag 2.49
F (0.7069, 0.6525, 0.4113)  1 Mn 2.20, 2 Ag 2.27-2.29
F (0.1005, 0.5750, 0.1987)  2 Mn 2.10
F (0.6053, 0.0779, 0.2087)  2 Mn 2.25, 1 Ag 2.49
F (0.2932, 0.3475, 0.5887)  1 Mn 2.20, 2 Ag 2.27-2.29
F (0.8996, 0.4250, 0.8013)  2 Mn 2.10
F (0.5001, 0.5000, 0.0000)  2 Mn 2.12

=====

| no. | E (hartree per atom) |
| --- | --- |
| 1 | -0.21671 |
| 2 | -0.18380 |